# 1
First-principles (PBE) data for Dy4Se3O2 after structural relaxation, as listed in Alexandria.

```
Dy4Se3O2
1.0
-1.581 -1.568 2.796
6.498 -0.701 0.997
-1.290 7.412 3.427
Se Dy O
3 4 2
Direct
0.606 0.212 0.416
0.394 0.788 0.584
0.000 0.000 0.000
0.919 0.839 0.311
0.081 0.161 0.689
0.672 0.344 0.106
0.328 0.656 0.894
0.702 0.403 0.833
0.298 0.597 0.167
```

Results
Formation energy (no corrections)   -2.231 eV per atom
Symmetry   C2/m (12)
DFT total energy   -0.4807 Ry/atom
M_tot   0.00 μB/cell
Density of states at the Fermi level   0.3013 states/eV/atom

# 2
First-principles (PBE) data for PdAu2Br6 after structural relaxation, as listed in Alexandria.

```
PdAu2Br6
1.0
6.802 -0.643 0.382
0.635 8.991 2.202
-0.655 -0.469 9.243
Au Pd Br
4 2 12
Direct
0.256 0.534 0.679
0.756 0.679 0.534
0.744 0.466 0.321
0.244 0.321 0.466
0.750 0.919 0.081
0.250 0.081 0.919
0.385 0.751 0.510
0.115 0.490 0.249
0.574 0.967 0.835
0.896 0.880 0.337
0.615 0.249 0.490
0.426 0.033 0.165
0.926 0.165 0.033
0.396 0.337 0.880
0.104 0.120 0.663
0.604 0.663 0.120
0.885 0.510 0.751
0.074 0.835 0.967
```

Results
Formation energy (no corrections)   -0.095 eV per atom
Symmetry   C2/c (15)
DFT total energy   -0.1849 Ry/atom
M_tot   1.39 μB/cell
Density of states at the Fermi level   0.6269 states/eV/atom